{
  "formula": "Tl2InPt",
  "functional": "GGA-PBE",
  "state": "relaxed",
  "e_above_lowest_polymorph_mev_per_atom": 92,
  "formation_energy_mev_per_atom": -19,
  "e_tot_ev_per_atom": -3.397,
  "cell": [[7.160, 0.914, -0.155], [4.229, 5.849, 0.155], [-5.134, -4.325, 2.657]],
  "species": ["Tl", "Tl", "In", "Pt"],
  "frac_coords": [[0.060, 0.060, 0.000], [0.745, 0.245, 0.500], [0.433, 0.433, 0.000], [0.262, 0.762, 0.500]]
}

---

{
  "formula": "Sc2OsPd2",
  "functional": "GGA-PBE",
  "state": "relaxed",
  "formation_energy_mev_per_atom": -385,
  "e_tot_ev_per_atom": -7.241,
  "cell": [[-5.476, 4.454, -0.546], [-4.115, -4.640, 3.416], [0.889, 1.469, 3.066]],
  "species": ["Os", "Os", "Sc", "Sc", "Sc", "Sc", "Pd", "Pd", "Pd", "Pd"],
  "frac_coords": [[0.000, 0.000, 0.000], [0.500, 0.500, 0.000], [0.823, 0.323, 0.500], [0.177, 0.677, 0.500], [0.677, 0.823, 0.500], [0.323, 0.177, 0.500], [0.130, 0.370, 0.000], [0.870, 0.630, 0.000], [0.370, 0.870, 0.000], [0.630, 0.130, 0.000]]
}

---

{
  "formula": "MgIrSI2",
  "functional": "GGA-PBE",
  "state": "relaxed",
  "raw_formation_energy_ev_per_atom": 1.022,
  "e_tot_ev_per_atom": -2.515,
  "cell": [[-3.591, -1.570, -3.727], [3.399, 0.038, -3.291], [1.122, -5.175, 1.099]],
  "species": ["I", "I", "S", "Ir", "Mg"],
  "frac_coords": [[0.500, 0.000, 0.000], [0.000, 0.000, 0.500], [0.000, 0.000, 0.000], [0.500, 0.500, 0.500], [0.000, 0.500, 0.000]]
}

---

{
  "formula": "Al4Cd",
  "functional": "GGA-PBE",
  "state": "relaxed",
  "e_above_lowest_polymorph_mev_per_atom": 445,
  "formation_energy_mev_per_atom": 556,
  "e_tot_ev_per_atom": -2.622,
  "cell": [[-3.056, 3.056, 3.056], [3.056, -3.056, 3.056], [3.056, 3.056, -3.056]],
  "species": ["Al", "Al", "Al", "Al", "Cd"],
  "frac_coords": [[0.500, 0.500, 0.500], [0.000, 0.500, 0.000], [0.000, 0.000, 0.500], [0.500, 0.000, 0.000], [0.000, 0.000, 0.000]]
}

---

{
  "formula": "Cs3TlAg2Cl9",
  "functional": "GGA-PBE",
  "state": "relaxed",
  "raw_formation_energy_ev_per_atom": -1.165,
  "e_tot_ev_per_atom": -2.982,
  "cell": [[7.512, 0.000, 0.000], [-3.756, 6.506, 0.000], [0.000, 0.000, 9.229]],
  "species": ["Cl", "Cl", "Cl", "Cl", "Cl", "Cl", "Cl", "Cl", "Cl", "Tl", "Ag", "Ag", "Cs", "Cs", "Cs"],
  "frac_coords": [[0.832, 0.168, 0.667], [0.832, 0.665, 0.667], [0.665, 0.832, 0.333], [0.500, 0.500, 0.000], [0.168, 0.832, 0.333], [0.168, 0.335, 0.333], [0.335, 0.168, 0.667], [0.000, 0.500, 0.000], [0.500, 0.000, 0.000], [0.000, 0.000, 0.500], [0.333, 0.667, 0.157], [0.667, 0.333, 0.843], [0.333, 0.667, 0.675], [0.667, 0.333, 0.325], [0.000, 0.000, 0.000]]
}

---

{
  "formula": "BaSrTl3",
  "functional": "GGA-PBE",
  "state": "relaxed",
  "e_above_lowest_polymorph_mev_per_atom": 662,
  "formation_energy_mev_per_atom": 342,
  "e_tot_ev_per_atom": -1.798,
  "cell": [[6.318, 0.000, 0.000], [0.000, 6.318, 0.000], [0.000, 0.000, 6.318]],
  "species": ["Tl", "Tl", "Tl", "Ba", "Sr"],
  "frac_coords": [[0.000, 0.000, 0.500], [0.500, 0.000, 0.000], [0.000, 0.500, 0.000], [0.000, 0.000, 0.000], [0.500, 0.500, 0.500]]
}

---

{
  "formula": "Mo3Os",
  "functional": "GGA-PBE",
  "state": "relaxed",
  "e_above_lowest_polymorph_mev_per_atom": 129,
  "formation_energy_mev_per_atom": 130,
  "e_tot_ev_per_atom": -10.801,
  "cell": [[2.737, 0.000, 0.000], [-0.912, 5.114, 0.000], [0.912, 2.557, 4.429]],
  "species": ["Os", "Mo", "Mo", "Mo"],
  "frac_coords": [[0.000, 0.500, 0.500], [0.500, 0.000, 0.500], [0.000, 0.000, 0.000], [0.500, 0.500, 0.000]]
}

---

{
  "formula": "LaTi2I2",
  "functional": "GGA-PBE",
  "state": "relaxed",
  "e_above_lowest_polymorph_mev_per_atom": 0,
  "raw_formation_energy_ev_per_atom": -0.108,
  "e_tot_ev_per_atom": -4.872,
  "cell": [[-2.794, -1.625, -4.185], [-0.186, -4.884, 2.020], [-5.325, -2.216, 1.074]],
  "species": ["Ti", "Ti", "I", "I", "La"],
  "frac_coords": [[0.616, 0.616, 0.769], [0.384, 0.384, 0.231], [0.250, 0.750, 0.500], [0.750, 0.250, 0.500], [0.000, 0.000, 0.000]]
}

---

{
  "formula": "Re2SiAu",
  "functional": "GGA-PBE",
  "state": "relaxed",
  "raw_formation_energy_ev_per_atom": 0.213,
  "e_tot_ev_per_atom": -8.186,
  "cell": [[-5.153, 1.505, 1.001], [-2.691, -1.630, 4.463], [4.241, 2.631, -2.214]],
  "species": ["Au", "Re", "Re", "Si"],
  "frac_coords": [[0.250, 0.750, 0.500], [0.959, 0.959, 0.000], [0.541, 0.541, 0.000], [0.750, 0.250, 0.500]]
}

---

{
  "formula": "BaNb2Br",
  "functional": "GGA-PBE",
  "state": "relaxed",
  "e_above_lowest_polymorph_mev_per_atom": 639,
  "raw_formation_energy_ev_per_atom": 1.279,
  "e_tot_ev_per_atom": -4.654,
  "cell": [[0.000, 3.532, 3.532], [3.532, 0.000, 3.532], [3.532, 3.532, 0.000]],
  "species": ["Nb", "Nb", "Br", "Ba"],
  "frac_coords": [[0.250, 0.250, 0.250], [0.750, 0.750, 0.750], [0.000, 0.000, 0.000], [0.500, 0.500, 0.500]]
}

---

{
  "formula": "Ca2GeW",
  "functional": "GGA-PBE",
  "state": "relaxed",
  "formation_energy_mev_per_atom": 820,
  "e_tot_ev_per_atom": -4.573,
  "cell": [[8.253, 0.000, 0.000], [0.000, 8.253, 0.000], [4.126, 4.126, 2.711]],
  "species": ["Ca", "Ca", "Ca", "Ca", "W", "W", "Ge", "Ge"],
  "frac_coords": [[0.875, 0.853, 0.750], [0.603, 0.125, 0.250], [0.147, 0.625, 0.250], [0.375, 0.397, 0.750], [0.750, 0.250, 0.500], [0.000, 0.000, 0.000], [0.500, 0.500, 0.000], [0.250, 0.750, 0.500]]
}

---

{
  "formula": "ZnCd2SbO6",
  "functional": "GGA-PBE",
  "state": "relaxed",
  "raw_formation_energy_ev_per_atom": -1.116,
  "e_tot_ev_per_atom": -4.814,
  "cell": [[5.543, 0.000, 0.000], [2.771, 4.800, 0.000], [2.771, 1.601, 4.769]],
  "species": ["Cd", "Cd", "Zn", "O", "O", "O", "O", "O", "O", "Sb"],
  "frac_coords": [[0.031, 0.031, 0.906], [0.540, 0.540, 0.380], [0.808, 0.808, 0.576], [0.581, 0.187, 0.262], [0.187, 0.970, 0.262], [0.970, 0.581, 0.262], [0.103, 0.450, 0.774], [0.673, 0.103, 0.774], [0.450, 0.673, 0.774], [0.318, 0.318, 0.046]]
}

---

{
  "formula": "NiHIr2",
  "functional": "GGA-PBE",
  "state": "relaxed",
  "e_above_lowest_polymorph_mev_per_atom": 279,
  "e_tot_ev_per_atom": -6.154,
  "cell": [[0.000, 2.836, 2.836], [2.836, 0.000, 2.836], [2.836, 2.836, 0.000]],
  "species": ["Ir", "Ir", "Ni", "H"],
  "frac_coords": [[0.750, 0.750, 0.750], [0.250, 0.250, 0.250], [0.500, 0.500, 0.500], [0.000, 0.000, 0.000]]
}

---

{
  "formula": "SrZrAg2",
  "functional": "GGA-PBE",
  "state": "relaxed",
  "e_above_lowest_polymorph_mev_per_atom": 212,
  "formation_energy_mev_per_atom": 164,
  "e_tot_ev_per_atom": -3.819,
  "cell": [[6.420, 0.009, 0.024], [3.430, 5.427, -0.024], [-4.277, -3.893, 2.788]],
  "species": ["Ag", "Ag", "Sr", "Zr"],
  "frac_coords": [[0.989, 0.989, 0.000], [0.777, 0.277, 0.500], [0.512, 0.512, 0.000], [0.221, 0.721, 0.500]]
}

---

{
  "formula": "SmHoMg",
  "functional": "GGA-PBE",
  "state": "relaxed",
  "e_above_lowest_polymorph_mev_per_atom": 0,
  "formation_energy_mev_per_atom": -44,
  "e_tot_ev_per_atom": -3.675,
  "cell": [[5.194, 0.000, 0.000], [0.000, 4.948, -1.550], [0.000, -0.513, 7.030]],
  "species": ["Mg", "Mg", "Ho", "Ho", "Sm", "Sm"],
  "frac_coords": [[0.750, 0.250, 0.000], [0.250, 0.750, 0.000], [0.250, 0.091, 0.682], [0.750, 0.909, 0.318], [0.250, 0.411, 0.321], [0.750, 0.589, 0.679]]
}

---

{
  "formula": "EuAlCu",
  "functional": "GGA-PBE",
  "state": "relaxed",
  "formation_energy_mev_per_atom": -121,
  "e_tot_ev_per_atom": -6.159,
  "cell": [[-1.512, 1.664, 2.370], [-2.879, -1.151, -1.029], [2.745, -4.793, 2.864]],
  "species": ["Eu", "Al", "Cu"],
  "frac_coords": [[0.005, 0.005, 0.010], [0.296, 0.296, 0.593], [0.699, 0.699, 0.397]]
}

---

{
  "formula": "SiGe2Se4",
  "functional": "GGA-PBE",
  "state": "relaxed",
  "raw_formation_energy_ev_per_atom": -0.175,
  "e_tot_ev_per_atom": -4.260,
  "cell": [[6.756, 0.000, 0.000], [0.000, 6.756, 0.000], [-3.378, -3.378, 4.664]],
  "species": ["Ge", "Ge", "Se", "Se", "Se", "Se", "Si"],
  "frac_coords": [[0.750, 0.250, 0.500], [0.250, 0.750, 0.500], [0.605, 0.605, 0.779], [0.174, 0.174, 0.779], [0.826, 0.395, 0.221], [0.395, 0.826, 0.221], [0.500, 0.500, 0.000]]
}

---

{
  "formula": "Ba2GaRhCl",
  "functional": "GGA-PBE",
  "state": "relaxed",
  "raw_formation_energy_ev_per_atom": -0.881,
  "e_tot_ev_per_atom": -4.096,
  "cell": [[6.063, 0.000, 0.000], [0.000, 6.063, 0.000], [0.000, 0.000, 4.752]],
  "species": ["Ga", "Cl", "Rh", "Ba", "Ba"],
  "frac_coords": [[0.000, 0.000, 0.500], [0.500, 0.500, 0.500], [0.000, 0.000, 0.000], [0.500, 0.000, 0.000], [0.000, 0.500, 0.000]]
}

---

{
  "formula": "CsBI3",
  "functional": "GGA-PBE",
  "state": "relaxed",
  "e_above_lowest_polymorph_mev_per_atom": 1619,
  "raw_formation_energy_ev_per_atom": 0.952,
  "e_tot_ev_per_atom": -1.484,
  "cell": [[-6.119, -3.342, -2.105], [3.937, -4.845, -3.752], [0.321, -4.290, 5.877]],
  "species": ["I", "I", "I", "B", "Cs"],
  "frac_coords": [[0.000, 0.000, 0.500], [0.000, 0.500, 0.000], [0.500, 0.000, 0.000], [0.500, 0.500, 0.500], [0.000, 0.000, 0.000]]
}

---

{
  "formula": "RbCrC2",
  "functional": "GGA-PBE",
  "state": "relaxed",
  "formation_energy_mev_per_atom": 3057,
  "e_tot_ev_per_atom": -4.203,
  "cell": [[-2.761, -2.677, 1.818], [-0.990, 0.434, 4.114], [-3.867, 1.371, 1.124]],
  "species": ["Rb", "Cr", "C", "C"],
  "frac_coords": [[0.500, 0.500, 0.500], [0.000, 0.000, 0.000], [0.250, 0.250, 0.250], [0.750, 0.750, 0.750]]
}

---

no.,magnetization (μB/f.u.)
1,0.00
2,0.00
3,1.50
4,0.00
5,0.00
6,0.00
7,0.00
8,0.00
9,0.00
10,0.00
11,0.00
12,1.05
13,0.00
14,0.00
15,0.00
16,7.30
17,0.00
18,0.00
19,1.00
20,0.00